Entry from Alexandria via LeMat-Bulk: an optimized crystal structure of Ge2Pt5 (PBE).

Geometry as POSCAR:
```
Ge2Pt5
1.0
5.7773 -0.0566 0.1655
-0.0178 5.6370 2.5467
0.1742 0.1905 7.0914
Ge Pt
4 10
Direct
0.5281 0.2879 0.8211
0.9719 0.1089 0.1789
0.4719 0.7121 0.1789
0.0281 0.8911 0.8211
0.5348 0.0762 0.2374
0.9652 0.3135 0.7626
0.3327 0.6541 0.5502
0.1673 0.2043 0.4498
0.6673 0.3459 0.4498
0.8327 0.7957 0.5502
0.0348 0.6865 0.2374
0.4652 0.9238 0.7626
0.7500 0.5366 0.0000
0.2500 0.4634 0.0000
```

- Formation energy: -287.4 meV/atom
- Magnetization: 0.0000 μB/atom
- DOS(E_F): 2.448 states/eV/f.u.
- V: 16.28 Å³ per atom
- Total energy: -5.9215 eV per atom
- SG: C2/c (15)